1.
## Cu2TeAu2 (PBEsol)

Data for an optimized crystal structure of Cu2TeAu2.

The calculated total energy is -3.806 eV per atom. As for the total magnetization: 0.0 μB/f.u.

It has space group I4/mmm (No. 139), with a = 3.6412 Å, b = 3.6412 Å, c = 13.2344 Å, α = 90.00°, β = 90.00° and γ = 90.00°. The distinct sites, in fractional coordinates, are Cu at (0.0000, 0.5000, 0.2500), Te at (0.0000, 0.0000, 0.0000) and Au at (0.0000, 0.0000, 0.3902).



2.
## YCuTeAu2 (PBEsol)

Data for an optimized crystal structure of YCuTeAu2.

The calculated total energy is -4.577 eV per atom. As for the total magnetization: 0.0 μB/f.u.

It has space group P4/mmm (No. 123), with a = 4.6982 Å, b = 4.6982 Å, c = 5.1642 Å, α = 90.00°, β = 90.00° and γ = 90.00°. The distinct sites, in fractional coordinates, are Y at (0.0000, 0.0000, 0.0000), Cu at (0.0000, 0.0000, 0.5000), Te at (0.5000, 0.5000, 0.0000) and Au at (0.0000, 0.5000, 0.5000).



3.
## TiCu3Au (PBEsol)

Data for an optimized crystal structure of TiCu3Au.

As for the total magnetization: 1.2 μB/f.u. The calculated formation energy comes out at 1.358 eV per atom.

It has space group Pm-3m (No. 221), with a = 4.4661 Å, b = 4.4661 Å, c = 4.4661 Å, α = 90.00°, β = 90.00° and γ = 90.00°. The distinct sites, in fractional coordinates, are Ti at (0.0000, 0.0000, 0.0000), Cu at (0.0000, 0.0000, 0.5000) and Au at (0.5000, 0.5000, 0.5000).



4.
## TlCuAu2 (PBEsol)

Data for an optimized crystal structure of TlCuAu2.

As for the total magnetization: 0.0 μB/f.u. The calculated formation energy comes out at 0.063 eV per atom. The energy above the most stable polymorph in this dataset is 0 meV/atom.

It has space group P4/mmm (No. 123), with a = 3.1494 Å, b = 3.1494 Å, c = 7.1303 Å, α = 90.00°, β = 90.00° and γ = 90.00°. The distinct sites, in fractional coordinates, are Tl at (0.0000, 0.0000, 0.0000), Cu at (0.0000, 0.0000, 0.5000) and Au at (0.5000, 0.5000, 0.2980).



5.
## Tl2CuAu (PBEsol)

Data for an optimized crystal structure of Tl2CuAu.

As for the total magnetization: 0.0 μB/f.u. The calculated formation energy comes out at 0.242 eV per atom.

It has space group R-3m (No. 166, hexagonal axes), with a = 3.4669 Å, b = 3.4669 Å, c = 24.0216 Å, α = 90.00°, β = 90.00° and γ = 120.00°. The distinct sites, in fractional coordinates, are Tl at (0.0000, 0.0000, 0.2452), Cu at (0.0000, 0.0000, 0.5000) and Au at (0.0000, 0.0000, 0.0000).



6.
## TlCu2Au (PBEsol)

Data for an optimized crystal structure of TlCu2Au.

As for the total magnetization: 0.0 μB/f.u. The calculated formation energy comes out at 0.275 eV per atom.

It has space group R-3m (No. 166, hexagonal axes), with a = 3.0514 Å, b = 3.0514 Å, c = 24.5418 Å, α = 90.00°, β = 90.00° and γ = 120.00°. The distinct sites, in fractional coordinates, are Tl at (0.0000, 0.0000, 0.0000), Cu at (0.0000, 0.0000, 0.2455) and Au at (0.0000, 0.0000, 0.5000).



Computed V, in the same sequence as the records: 17.5 22.8 17.8 17.7 20.8 16.5 A^3/atom.